No. 1
The following is a DFT calculation (PBE) of crystalline Ac2BePd6 at its relaxed geometry.

a b c (Å): 6.378 6.378 6.267
angles (deg): 57.82 57.82 57.81
Sites, in units of the cell vectors:
Ac: 0.248 0.248 0.240
Pd: 0.246 0.766 0.759
Pd: 0.754 0.234 0.241
Ac: 0.752 0.752 0.760
Pd: 0.238 0.238 0.750
Pd: 0.766 0.246 0.759
Pd: 0.234 0.754 0.241
Pd: 0.762 0.762 0.250
Be: 0.500 0.500 0.500

Summary:
Fermi-level density of states, states/eV/atom: 0.324
Calculated total energy, eV/f.u.: -50.091
Space group: C2/m (12)
ΔE_f, eV per formula unit: -6.99

No. 2
The following is a DFT calculation (PBE) of crystalline AcBe2Pd5 at its relaxed geometry.

a b c (Å): 3.999 6.290 6.290
angles (deg): 63.26 71.46 71.46
Sites, in units of the cell vectors:
Pd: 0.000 0.500 0.500
Pd: 0.346 0.450 0.857
Pd: 0.654 0.550 0.143
Ac: 0.000 0.000 0.000
Be: 0.777 0.723 0.723
Be: 0.223 0.277 0.277
Pd: 0.654 0.143 0.550
Pd: 0.346 0.857 0.450

Summary:
Fermi-level density of states, states/eV/atom: 0.179
Calculated total energy, eV/f.u.: -42.624
Space group: Immm (71)
ΔE_f, eV per formula unit: -5.10

No. 3
The following is a DFT calculation (PBE) of crystalline AcBePd3 at its relaxed geometry.

a b c (Å): 4.541 4.541 4.541
angles (deg): 90.00 90.00 90.00
Sites, in units of the cell vectors:
Ac: 0.500 0.500 0.500
Be: 0.000 0.000 0.000
Pd: 0.500 0.000 0.000
Pd: 0.000 0.500 0.000
Pd: 0.000 0.000 0.500

Summary:
Fermi-level density of states, states/eV/atom: 0.897
Calculated total energy, eV/f.u.: -26.670
Space group: Pm-3m (221)
ΔE_f, eV per formula unit: -3.26
Polymorph energy (0 for the lowest one), eV per atom: 0.054

No. 4
The following is a DFT calculation (PBE) of crystalline AcBe4Pd8 at its relaxed geometry.

a b c (Å): 5.138 6.614 6.614
angles (deg): 81.32 67.14 67.14
Sites, in units of the cell vectors:
Be: 0.500 0.000 0.500
Pd: 0.339 0.661 0.661
Pd: 0.000 0.339 0.661
Pd: 0.500 0.227 0.773
Pd: 0.273 0.227 0.227
Pd: 0.727 0.773 0.773
Pd: 0.500 0.773 0.227
Pd: 0.661 0.339 0.339
Ac: 0.000 0.000 0.000
Be: 0.000 0.500 0.000
Be: 0.500 0.500 0.000
Be: 0.000 0.000 0.500
Pd: 0.000 0.661 0.339

Summary:
Fermi-level density of states, states/eV/atom: 0.401
Calculated total energy, eV/f.u.: -66.797
Space group: I4/mmm (139)
ΔE_f, eV per formula unit: -6.24

No. 5
The following is a DFT calculation (PBE) of crystalline Ac3Be2Pd7 at its relaxed geometry.

a b c (Å): 4.275 4.367 13.035
angles (deg): 99.64 90.00 90.00
Sites, in units of the cell vectors:
Be: 0.000 0.123 0.245
Ac: 0.500 0.321 0.642
Ac: 0.500 0.679 0.358
Ac: 0.500 0.500 0.000
Pd: 0.000 0.586 0.172
Pd: 0.500 0.914 0.828
Pd: 0.000 0.414 0.828
Pd: 0.500 0.086 0.172
Pd: 0.000 0.785 0.571
Pd: 0.000 0.215 0.429
Pd: 0.000 0.000 0.000
Be: 0.000 0.877 0.755

Summary:
Fermi-level density of states, states/eV/atom: 0.439
Calculated total energy, eV/f.u.: -64.795
Space group: Cmmm (65)
ΔE_f, eV per formula unit: -8.67

No. 6
The following is a DFT calculation (PBE) of crystalline Ac2Be2Pd5 at its relaxed geometry.

a b c (Å): 4.224 4.224 9.534
angles (deg): 90.00 90.00 90.00
Sites, in units of the cell vectors:
Ac: 0.000 0.000 0.000
Pd: 0.000 0.500 0.740
Pd: 0.500 0.500 0.500
Pd: 0.000 0.500 0.260
Be: 0.500 0.500 0.151
Pd: 0.500 0.000 0.740
Pd: 0.500 0.000 0.260
Ac: 0.000 0.000 0.500
Be: 0.500 0.500 0.849

Summary:
Fermi-level density of states, states/eV/atom: 0.406
Calculated total energy, eV/f.u.: -47.203
Space group: P4/mmm (123)
ΔE_f, eV per formula unit: -5.57

No. 7
The following is a DFT calculation (PBE) of crystalline Ac2BePd at its relaxed geometry.

a b c (Å): 5.368 5.368 5.368
angles (deg): 60.00 60.00 60.00
Sites, in units of the cell vectors:
Ac: 0.250 0.250 0.250
Be: 0.500 0.500 0.500
Pd: 0.000 0.000 0.000
Ac: 0.750 0.750 0.750

Summary:
Fermi-level density of states, states/eV/atom: 0.720
Calculated total energy, eV/f.u.: -17.776
Space group: Fm-3m (225)
ΔE_f, eV per formula unit: -0.64
Polymorph energy (0 for the lowest one), eV per atom: 0.016

No. 8
The following is a DFT calculation (PBE) of crystalline Ac2BePd5 at its relaxed geometry.

a b c (Å): 6.247 6.247 6.247
angles (deg): 87.52 121.44 121.44
Sites, in units of the cell vectors:
Pd: 0.000 0.732 0.258
Pd: 0.473 0.732 0.732
Ac: 0.500 0.744 0.244
Pd: 0.527 0.258 0.258
Pd: 0.000 0.259 0.259
Pd: 0.000 0.258 0.732
Be: 0.000 0.994 0.994
Ac: 0.500 0.244 0.744

Summary:
Fermi-level density of states, states/eV/atom: 0.382
Calculated total energy, eV/f.u.: -43.555
Space group: I4mm (107)
ΔE_f, eV per formula unit: -5.65

No. 9
The following is a DFT calculation (PBE) of crystalline Ac2BePd at its relaxed geometry.

a b c (Å): 3.819 3.819 7.471
angles (deg): 90.00 90.00 90.00
Sites, in units of the cell vectors:
Ac: 0.000 0.000 0.249
Ac: 0.000 0.000 0.751
Be: 0.500 0.500 0.000
Pd: 0.500 0.500 0.500

Summary:
Fermi-level density of states, states/eV/atom: 0.874
Calculated total energy, eV/f.u.: -17.838
Space group: P4/mmm (123)
ΔE_f, eV per formula unit: -0.70
Polymorph energy (0 for the lowest one), eV per atom: 0.000

No. 10
The following is a DFT calculation (PBE) of crystalline AcPmBePd at its relaxed geometry.

a b c (Å): 5.218 5.218 5.218
angles (deg): 60.00 60.00 60.00
Sites, in units of the cell vectors:
Pm: 0.750 0.750 0.750
Be: 0.000 0.000 0.000
Ac: 0.250 0.250 0.250
Pd: 0.500 0.500 0.500

Summary:
Fermi-level density of states, states/eV/atom: 0.675
Calculated total energy, eV/f.u.: -18.474
Space group: F-43m (216)
ΔE_f, eV per formula unit: -0.70

No. 11
The following is a DFT calculation (PBE) of crystalline Ac2BePd6Pt at its relaxed geometry.

a b c (Å): 6.303 7.068 8.220
angles (deg): 47.98 56.39 84.50
Sites, in units of the cell vectors:
Pd: 0.751 0.750 0.031
Pt: 0.500 0.500 0.000
Pd: 0.750 0.751 0.468
Pd: 0.757 0.243 0.862
Be: 0.000 0.000 0.000
Ac: 0.225 0.775 0.535
Pd: 0.243 0.757 0.138
Pd: 0.250 0.249 0.532
Pd: 0.249 0.250 0.969
Ac: 0.775 0.225 0.465

Summary:
Fermi-level density of states, states/eV/atom: 0.215
Calculated total energy, eV/f.u.: -55.717
Space group: C2/m (12)
ΔE_f, eV per formula unit: -6.58

No. 12
The following is a DFT calculation (PBE) of crystalline Ac2Be3Pd12Pt at its relaxed geometry.

a b c (Å): 7.574 7.574 7.574
angles (deg): 65.08 65.08 65.08
Sites, in units of the cell vectors:
Be: 0.000 0.000 0.500
Ac: 0.391 0.391 0.391
Pd: 0.909 0.333 0.333
Pd: 0.333 0.909 0.333
Be: 0.000 0.500 0.000
Pt: 0.000 0.000 0.000
Pd: 0.333 0.333 0.909
Pd: 0.390 0.871 0.871
Be: 0.500 0.000 0.000
Pd: 0.610 0.129 0.129
Pd: 0.129 0.610 0.129
Pd: 0.091 0.667 0.667
Pd: 0.667 0.667 0.091
Pd: 0.129 0.129 0.610
Pd: 0.667 0.091 0.667
Ac: 0.609 0.609 0.609
Pd: 0.871 0.390 0.871
Pd: 0.871 0.871 0.390

Summary:
Fermi-level density of states, states/eV/atom: 0.503
Calculated total energy, eV/f.u.: -91.541
Space group: R-3m (166)
ΔE_f, eV per formula unit: -3.79

No. 13
The following is a DFT calculation (PBE) of crystalline Ac3Be2Pd9Pt at its relaxed geometry.

a b c (Å): 6.876 6.876 7.334
angles (deg): 90.00 90.00 120.00
Sites, in units of the cell vectors:
Ac: 0.333 0.667 0.661
Pd: 0.811 0.189 0.686
Pd: 0.379 0.189 0.686
Pd: 0.189 0.811 0.314
Pd: 0.811 0.621 0.686
Ac: 0.667 0.333 0.339
Be: 0.333 0.667 0.126
Pd: 0.000 0.500 0.000
Pd: 0.621 0.811 0.314
Pd: 0.500 0.000 0.000
Pd: 0.500 0.500 0.000
Pt: 0.000 0.000 0.500
Ac: 0.000 0.000 0.000
Pd: 0.189 0.379 0.314
Be: 0.667 0.333 0.874

Summary:
Fermi-level density of states, states/eV/atom: 0.363
Calculated total energy, eV/f.u.: -81.454
Space group: P-3m1 (164)
ΔE_f, eV per formula unit: -8.90

No. 14
The following is a DFT calculation (PBE) of crystalline Ac2PuBe2Pd7 at its relaxed geometry.

a b c (Å): 4.238 4.238 13.182
angles (deg): 84.46 84.46 89.19
Last column: magnetic moment on the atom in μB.
Sites, in units of the cell vectors:
Pu: 0.000 0.000 0.000  5.06
Be: 0.569 0.569 0.765  0.00
Pd: 0.388 0.388 0.415  0.01
Be: 0.431 0.431 0.235  0.00
Ac: 0.906 0.906 0.350  0.01
Pd: 0.954 0.456 0.161  0.01
Pd: 0.046 0.544 0.839  0.01
Pd: 0.612 0.612 0.585  0.01
Ac: 0.094 0.094 0.650  0.01
Pd: 0.456 0.954 0.161  0.01
Pd: 0.500 0.500 0.000  -0.01
Pd: 0.544 0.046 0.839  0.01

Summary:
Fermi-level density of states, states/eV/atom: 1.583
Calculated total energy, eV/f.u.: -73.913
Space group: C2/m (12)
ΔE_f, eV per formula unit: -7.56

No. 15
The following is a DFT calculation (PBE) of crystalline Ac2BePd6Rh at its relaxed geometry.

a b c (Å): 5.629 7.901 6.196
angles (deg): 59.06 62.99 89.99
Sites, in units of the cell vectors:
Pd: 0.751 0.708 0.008
Pd: 0.241 0.708 0.008
Pd: 0.249 0.292 0.992
Ac: 0.719 0.180 0.561
Pd: 0.257 0.380 0.486
Ac: 0.281 0.820 0.439
Pd: 0.743 0.620 0.514
Be: 0.500 0.500 0.000
Pd: 0.759 0.292 0.992
Rh: 0.000 0.000 0.000

Summary:
Fermi-level density of states, states/eV/atom: 0.538
Calculated total energy, eV/f.u.: -55.950
Space group: C2/m (12)
ΔE_f, eV per formula unit: -5.50

No. 16
The following is a DFT calculation (PBE) of crystalline Ac2BeSbPd6 at its relaxed geometry.

a b c (Å): 6.116 7.418 7.428
angles (deg): 48.64 65.69 90.00
Sites, in units of the cell vectors:
Pd: 0.734 0.791 0.533
Ac: 0.261 0.737 0.477
Pd: 0.793 0.735 0.940
Pd: 0.207 0.265 0.060
Ac: 0.739 0.263 0.523
Pd: 0.733 0.265 0.060
Pd: 0.266 0.209 0.467
Pd: 0.267 0.735 0.940
Be: 0.500 0.500 0.000
Sb: 0.000 0.000 0.000

Summary:
Fermi-level density of states, states/eV/atom: 0.522
Calculated total energy, eV/f.u.: -54.360
Space group: C2/m (12)
Energy relative to the elements, uncorrected, eV per atom: -0.714

No. 17
The following is a DFT calculation (PBE) of crystalline Ac2ScBePd6 at its relaxed geometry.

a b c (Å): 6.710 6.712 6.709
angles (deg): 59.99 60.00 90.00
Sites, in units of the cell vectors:
Ac: 0.750 0.250 0.500
Pd: 0.271 0.271 0.000
Ac: 0.250 0.750 0.500
Pd: 0.729 0.729 0.000
Pd: 0.729 0.271 0.000
Be: 0.500 0.500 0.000
Pd: 0.270 0.270 0.459
Pd: 0.271 0.729 0.000
Sc: 0.000 0.000 0.000
Pd: 0.730 0.730 0.541

Summary:
Fermi-level density of states, states/eV/atom: 0.594
Calculated total energy, eV/f.u.: -55.139
Space group: Fm-3m (225)
ΔE_f, eV per formula unit: -5.71

No. 18
The following is a DFT calculation (PBE) of crystalline AcBeSiPd6 at its relaxed geometry.

a b c (Å): 7.656 8.091 7.902
angles (deg): 120.80 118.98 90.00
Sites, in units of the cell vectors:
Pd: 0.600 0.899 0.754
Si: 0.000 0.000 0.500
Be: 0.500 0.500 0.000
Ac: 0.841 0.591 0.683
Pd: 0.600 0.355 0.754
Pd: 0.154 0.899 0.754
Pd: 0.846 0.101 0.246
Pd: 0.154 0.355 0.754
Be: 0.500 0.000 0.000
Pd: 0.425 0.675 0.851
Pd: 0.128 0.878 0.256
Ac: 0.159 0.409 0.317
Pd: 0.575 0.325 0.149
Pd: 0.400 0.101 0.246
Pd: 0.872 0.122 0.744
Pd: 0.400 0.645 0.246
Si: 0.500 0.000 0.500
Pd: 0.846 0.645 0.246

Summary:
Fermi-level density of states, states/eV/atom: 0.416
Calculated total energy, eV/f.u.: -48.261
Space group: Imma (74)
Energy relative to the elements, uncorrected, eV per atom: -0.427

No. 19
The following is a DFT calculation (PBE) of crystalline AcBeSi2Pd at its relaxed geometry.

a b c (Å): 4.240 4.240 5.931
angles (deg): 110.94 110.94 90.00
Sites, in units of the cell vectors:
Si: 0.625 0.625 0.249
Ac: 0.000 0.000 0.000
Pd: 0.250 0.750 0.500
Be: 0.750 0.250 0.500
Si: 0.375 0.375 0.751

Summary:
Fermi-level density of states, states/eV/atom: 0.275
Calculated total energy, eV/f.u.: -26.891
Space group: I-4m2 (119)
Energy relative to the elements, uncorrected, eV per atom: -0.603

No. 20
The following is a DFT calculation (PBE) of crystalline Ac2BeSi3Pd4 at its relaxed geometry.

a b c (Å): 4.348 4.348 10.108
angles (deg): 90.00 90.00 90.00
Sites, in units of the cell vectors:
Si: 0.000 0.500 0.127
Ac: 0.500 0.000 0.258
Pd: 0.000 0.500 0.382
Si: 0.500 0.000 0.873
Pd: 0.000 0.000 0.000
Pd: 0.500 0.500 0.000
Ac: 0.000 0.500 0.742
Pd: 0.500 0.000 0.618
Si: 0.000 0.000 0.500
Be: 0.500 0.500 0.500

Summary:
Fermi-level density of states, states/eV/atom: 0.411
Calculated total energy, eV/f.u.: -56.758
Space group: P-4m2 (115)
Energy relative to the elements, uncorrected, eV per atom: -0.777

No. 21
The following is a DFT calculation (PBE) of crystalline Ac2SmBe2Pd7 at its relaxed geometry.

a b c (Å): 4.234 4.234 13.760
angles (deg): 77.37 77.37 89.44
Sites, in units of the cell vectors:
Be: 0.668 0.668 0.766
Pd: 0.884 0.383 0.160
Ac: 0.260 0.260 0.649
Pd: 0.383 0.884 0.160
Pd: 0.617 0.116 0.840
Be: 0.332 0.332 0.234
Pd: 0.193 0.193 0.413
Ac: 0.740 0.740 0.351
Sm: 0.000 0.000 0.000
Pd: 0.807 0.807 0.587
Pd: 0.500 0.500 0.000
Pd: 0.116 0.617 0.840

Summary:
Fermi-level density of states, states/eV/atom: 0.334
Calculated total energy, eV/f.u.: -65.521
Space group: C2/m (12)
ΔE_f, eV per formula unit: -8.78

No. 22
The following is a DFT calculation (PBE) of crystalline Ac2BeSnPd6 at its relaxed geometry.

a b c (Å): 6.098 7.444 6.099
angles (deg): 66.01 59.86 90.19
Sites, in units of the cell vectors:
Pd: 0.787 0.319 0.947
Pd: 0.264 0.324 0.942
Pd: 0.736 0.676 0.058
Be: 0.500 0.500 0.000
Ac: 0.265 0.790 0.472
Pd: 0.736 0.677 0.531
Sn: 0.000 0.000 0.000
Ac: 0.735 0.210 0.528
Pd: 0.264 0.323 0.469
Pd: 0.213 0.681 0.053

Summary:
Fermi-level density of states, states/eV/atom: 0.580
Calculated total energy, eV/f.u.: -54.012
Space group: P-1 (2)
ΔE_f, eV per formula unit: -6.91